Record 1
DyHo7Er2 | PBE | relaxed

Cell and atoms, written as POSCAR:
```
DyHo7Er2
1.0
4.324 -8.378 0.000
4.324 8.378 0.000
0.000 0.000 5.245
Dy Ho Er
1 7 2
Cartesian
0.000 0.000 0.000 Dy
1.543 1.852 2.623 Ho
4.324 5.030 0.000 Ho
1.543 -1.852 2.623 Ho
4.324 0.000 2.623 Ho
7.106 1.852 2.623 Ho
4.324 -5.030 0.000 Ho
7.106 -1.852 2.623 Ho
4.324 3.380 2.623 Er
4.324 -3.380 2.623 Er
```

Output
DFT total energy (eV/atom): -3.87
Offset from the most stable computed form (kJ/mol of formula units): 660
SG: Cmmm
DFT formation energy (eV per atom): 0.705
Density of states at the Fermi level (states/eV/cell): 13.109

Record 2
DyHo4Er | PBE | relaxed

Cell and atoms, written as POSCAR:
```
DyHo4Er
1.0
1.764 -9.165 0.000
1.764 9.165 0.000
0.000 0.000 11.389
Dy Ho Er
2 8 2
Cartesian
1.764 6.108 5.695 Dy
1.764 -6.108 0.000 Dy
1.764 8.148 8.540 Ho
1.764 6.111 11.382 Ho
1.764 2.040 8.539 Ho
1.764 -0.001 11.388 Ho
1.764 0.001 5.693 Ho
1.764 -2.040 2.845 Ho
1.764 -6.111 5.687 Ho
1.764 -8.148 2.845 Ho
1.764 4.072 2.843 Er
1.764 -4.072 8.538 Er
```

Output
DFT total energy (eV/atom): -4.58
Offset from the most stable computed form (kJ/mol of formula units): 0
SG: Cmc2_1
DFT formation energy (eV per atom): 0.004
Density of states at the Fermi level (states/eV/cell): 16.292

Record 3
Dy2Ho2Er5 | PBE | relaxed

Cell and atoms, written as POSCAR:
```
Dy2Ho2Er5
1.0
7.452 -2.477 0.000
7.452 2.477 0.000
-2.481 0.000 7.448
Dy Ho Er
2 2 5
Cartesian
0.004 0.000 2.479 Dy
12.420 0.000 4.969 Dy
4.965 0.000 2.480 Ho
7.459 0.000 4.968 Ho
0.005 0.000 7.446 Er
2.484 0.000 4.968 Er
7.452 0.000 0.000 Er
9.940 0.000 2.480 Er
12.419 0.000 0.002 Er
```

Output
DFT total energy (eV/atom): -4.55
Offset from the most stable computed form (kJ/mol of formula units): 0
SG: C2/m
DFT formation energy (eV per atom): 0.020
Density of states at the Fermi level (states/eV/cell): 11.489

Question: What is the formula in the first record?
Answer: DyHo7Er2

Question: DFT formation energy of number 2 (DyHo4Er)?
Answer: 0.004 eV per atom

Question: The highest DFT total energy belongs to which entry?
Answer: DyHo7Er2

Please write out number 1 again, unchanged.
DyHo7Er2 | PBE | relaxed

Cell and atoms, written as POSCAR:
```
DyHo7Er2
1.0
4.324 -8.378 0.000
4.324 8.378 0.000
0.000 0.000 5.245
Dy Ho Er
1 7 2
Cartesian
0.000 0.000 0.000 Dy
1.543 1.852 2.623 Ho
4.324 5.030 0.000 Ho
1.543 -1.852 2.623 Ho
4.324 0.000 2.623 Ho
7.106 1.852 2.623 Ho
4.324 -5.030 0.000 Ho
7.106 -1.852 2.623 Ho
4.324 3.380 2.623 Er
4.324 -3.380 2.623 Er
```

Output
DFT total energy (eV/atom): -3.87
Offset from the most stable computed form (kJ/mol of formula units): 660
SG: Cmmm
DFT formation energy (eV per atom): 0.705
Density of states at the Fermi level (states/eV/cell): 13.109